4
Lattice="-1.7507 3.0661 5.1774 1.7507 -3.0661 5.1774 1.7507 3.0661 -5.1774" Properties=species:S:1:pos:R:3 comment="YPbBr2 | Alexandria via LeMat-Bulk | GGA-PBEsol | optimized geometry" sg="No. 71" final_energy_ev_per_atom=-4.624 de_polymorph_kcal_per_mol_atoms=1.44 raw_formation_energy_mev_per_atom=-983.3 pbc="T T T"
Y 0.0000 0.0000 0.0000
Pb 0.0000 0.0000 5.1774
Br 1.7507 0.0000 2.2221
Br 0.0000 3.0661 2.9553

3
Lattice="2.8471 0.0000 0.0000 -1.4235 2.4657 0.0000 0.0000 0.0000 6.2988" Properties=species:S:1:pos:R:3 comment="SiAgIr | Alexandria via LeMat-Bulk | GGA-PBEsol | optimized geometry" sg="No. 156" final_energy_ev_per_atom=-6.327 de_polymorph_kcal_per_mol_atoms=2.05 raw_formation_energy_mev_per_atom=-33.7 pbc="T T T"
Si 0.0000 0.0000 0.0000
Ag 0.0000 1.6438 4.1579
Ir 1.4235 0.8219 1.7604

4
Lattice="-2.0081 2.3904 4.0650 2.0081 -2.3904 4.0650 2.0081 2.3904 -4.0650" Properties=species:S:1:pos:R:3 comment="Sb2WAu | Alexandria via LeMat-Bulk | GGA-PBEsol | optimized geometry" sg="No. 71" final_energy_ev_per_atom=-6.128 de_polymorph_kcal_per_mol_atoms=5.81 raw_formation_energy_mev_per_atom=583.4 pbc="T T T"
Sb 0.0000 0.0000 1.9135
Sb 0.0000 0.0000 6.2165
W 0.0000 2.3904 0.0000
Au 2.0081 0.0000 0.0000

4
Lattice="-2.4804 2.4804 3.5223 2.4804 -2.4804 3.5223 2.4804 2.4804 -3.5223" Properties=species:S:1:pos:R:3 comment="HgBrCl2 | Alexandria via LeMat-Bulk | GGA-PBEsol | optimized geometry" sg="No. 139" final_energy_ev_per_atom=-1.412 de_polymorph_kcal_per_mol_atoms=7.58 raw_formation_energy_mev_per_atom=201.5 pbc="T T T"
Hg 0.0000 0.0000 0.0000
Br 0.0000 0.0000 3.5223
Cl 2.4804 0.0000 1.7612
Cl 0.0000 2.4804 1.7612

4
Lattice="0.0000 3.3530 3.3530 3.3530 0.0000 3.3530 3.3530 3.3530 0.0000" Properties=species:S:1:pos:R:3 comment="ThCdCu2 | Alexandria via LeMat-Bulk | GGA-PBEsol | optimized geometry" sg="No. 225" final_energy_ev_per_atom=-4.634 pbc="T T T"
Th 0.0000 0.0000 0.0000
Cd 3.3530 3.3530 3.3530
Cu 1.6765 1.6765 1.6765
Cu 5.0295 5.0295 5.0295

2
Lattice="0.0000 3.0816 3.0816 3.0816 0.0000 3.0816 3.0816 3.0816 0.0000" Properties=species:S:1:pos:R:3 comment="TmBi | Alexandria via LeMat-Bulk | GGA-PBEsol | optimized geometry" sg="No. 225" final_energy_ev_per_atom=-5.418 pbc="T T T"
Tm 0.0000 0.0000 0.0000
Bi 3.0816 3.0816 3.0816

| no. | calculated volume (Å³/atom) |
| --- | --- |
| 1 | 27.8 |
| 2 | 14.7 |
| 3 | 19.5 |
| 4 | 21.7 |
| 5 | 18.8 |
| 6 | 29.3 |